1.
First-principles (PBE-GGA) data for crystalline Pm3ErIr3 at its relaxed geometry, as listed in Alexandria.

abc: 7.563 7.563 7.563
angles: 68.70 68.70 68.70
Element x y z (fractional)
Pm (0.816, 0.369, 0.117)
Pm (0.117, 0.816, 0.369)
Pm (0.369, 0.117, 0.816)
Pm (0.631, 0.883, 0.184)
Pm (0.883, 0.184, 0.631)
Pm (0.184, 0.631, 0.883)
Er (0.326, 0.326, 0.326)
Er (0.674, 0.674, 0.674)
Ir (0.557, 0.309, 0.944)
Ir (0.309, 0.944, 0.557)
Ir (0.944, 0.557, 0.309)
Ir (0.056, 0.443, 0.691)
Ir (0.691, 0.056, 0.443)
Ir (0.443, 0.691, 0.056)

Crystal system: trigonal
SG: R-3
Formation energy from the elements, eV/atom: -0.647
Excess energy over the best structure of this formula in the dataset, eV/f.u.: 0.00
Energy, eV/atom: -7.13

2.
First-principles (PBE-GGA) data for crystalline PmErIrRh at its relaxed geometry, as listed in Alexandria.

abc: 4.891 4.891 4.891
angles: 60.00 60.00 60.00
Element x y z (fractional)
Rh (0.750, 0.750, 0.750)
Ir (0.250, 0.250, 0.250)
Pm (0.500, 0.500, 0.500)
Er (0.000, 0.000, 0.000)

Crystal system: cubic
SG: F-43m
Formation energy from the elements, eV/atom: -0.786
Energy, eV/atom: -7.17

3.
First-principles (PBE-GGA) data for crystalline PmErIrRu at its relaxed geometry, as listed in Alexandria.

abc: 4.872 4.872 4.872
angles: 60.00 60.00 60.00
Element x y z (fractional)
Ru (0.750, 0.750, 0.750)
Ir (0.250, 0.250, 0.250)
Pm (0.500, 0.500, 0.500)
Er (0.000, 0.000, 0.000)

Crystal system: cubic
SG: F-43m
Formation energy from the elements, eV/atom: -0.508
Energy, eV/atom: -7.37